VASP calculation (GGA-PBE) on Ac3Ga2SnPd6 after structural relaxation.

The calculation puts the theoretical density at 9.43 g/cm3. As for the total energy: -5.16 eV per atom.

abc: 6.0160 6.0160 8.8626
angles: 90.00 90.00 120.00
Space group P-3m1 (No. 164)
Unique sites:
Ac1 0.0000 0.0000 0.0000 (multiplicity 1)
Ac2 0.3333 0.6667 0.6293 (multiplicity 2)
Ga1 0.3333 0.6667 0.0308 (multiplicity 2)
Sn1 0.0000 0.0000 0.5000 (multiplicity 1)
Pd1 0.1779 0.3558 0.2720 (multiplicity 6)


VASP calculation (GGA-PBE) on SrAcGa2Pd2 after structural relaxation.

The calculation puts the theoretical density at 7.42 g/cm3. As for the total energy: -4.42 eV per atom.

abc: 4.5225 4.5225 8.4270
angles: 90.00 90.00 120.00
Space group P-3m1 (No. 164)
Unique sites:
Sr1 0.0000 0.0000 0.0000 (multiplicity 1)
Ac1 0.0000 0.0000 0.5000 (multiplicity 1)
Ga1 0.3333 0.6667 0.7523 (multiplicity 2)
Pd1 0.3333 0.6667 0.2593 (multiplicity 2)


VASP calculation (GGA-PBE) on SrAcGaPd after structural relaxation.

The calculation puts the theoretical density at 7.20 g/cm3. As for the total energy: -3.98 eV per atom. Its energy above the lowest structure with this stoichiometry is 70 meV/atom.

abc: 7.678 7.678 7.678
angles: 90.00 90.00 90.00
Space group F-43m (No. 216)
Unique sites:
Sr1 0.000 0.000 0.000 (multiplicity 4)
Ac1 0.000 0.000 0.500 (multiplicity 4)
Ga1 0.250 0.250 0.250 (multiplicity 4)
Pd1 0.250 0.250 0.750 (multiplicity 4)


| no. | formation energy (kJ/mol of formula units) |
| --- | --- |
| 1 | -810.6 |
| 2 | -416.0 |
| 3 | -184.7 |